a) A relaxed structure of Cu2ReIr, computed with PBE.

Output
For the density of states at the Fermi level, the calculation gives 0.598 states/eV per atom. Its volume is 13.246 Å³/atom.

Cell: 2.8550 4.3526 8.5273 Å, 90.00 90.00 90.00°
With the nearest neighbours (Å) after each atom.
Space group Imm2 (No. 44)
Asymmetric unit:
Cu: 0.0000 0.0000 0.0000 [2 per cell]  2 Cu 2.41, 2 Ir 2.60, 4 Re 2.61
Cu: 0.0000 0.5000 0.2729 [2 per cell]  2 Cu 2.41, 4 Ir 2.61, 2 Re 2.62
Re: 0.0000 0.0000 0.5148 [2 per cell]  6 Cu 2.61-2.62, 2 Ir 2.64, 2 Re 2.86
Ir: 0.0000 0.5000 0.7548 [2 per cell]  6 Cu 2.60-2.61, 2 Re 2.64, 2 Ir 2.86

b) A relaxed structure of Cu2ReIr, computed with PBE.

Output
For the density of states at the Fermi level, the calculation gives 0.135 states/eV per atom. Its volume is 13.620 Å³/atom.

Cell: 6.0178 6.0178 6.0178 Å, 90.00 90.00 90.00°
With the nearest neighbours (Å) after each atom.
Space group F-43m (No. 216)
Asymmetric unit:
Cu: 0.0000 0.0000 0.0000 [4 per cell]  4 Re 2.61, 4 Cu 2.61
Cu: 0.2500 0.2500 0.2500 [4 per cell]  4 Cu 2.61, 4 Ir 2.61
Re: 0.2500 0.2500 0.7500 [4 per cell]  4 Cu 2.61, 4 Ir 2.61
Ir: 0.0000 0.0000 0.5000 [4 per cell]  4 Cu 2.61, 4 Re 2.61

c) A relaxed structure of Cu2ReIr, computed with PBE.

Output
For the density of states at the Fermi level, the calculation gives 0.807 states/eV per atom. Its volume is 13.616 Å³/atom.

Cell: 5.1261 7.9744 2.6646 Å, 90.00 90.00 90.00°
With the nearest neighbours (Å) after each atom.
Space group Cmmm (No. 65)
Asymmetric unit:
Cu: 0.2500 0.2500 0.0000 [4 per cell]  4 Cu 2.56-2.66, 4 Re 2.72, 4 Ir 2.72
Re: 0.0000 0.0000 0.5000 [2 per cell]  2 Ir 2.56, 2 Re 2.66, 8 Cu 2.72
Ir: 0.0000 0.5000 0.5000 [2 per cell]  2 Re 2.56, 2 Ir 2.66, 8 Cu 2.72

d) A relaxed structure of Cu2ReIr, computed with PBE.

Output
For the density of states at the Fermi level, the calculation gives 0.881 states/eV per atom. Its volume is 13.253 Å³/atom.

Cell: 4.3044 4.3044 2.8612 Å, 90.00 90.00 90.00°
With the nearest neighbours (Å) after each atom.
Space group P4/mmm (No. 123)
Asymmetric unit:
Cu: 0.0000 0.5000 0.0000 [2 per cell]  4 Re 2.58, 4 Ir 2.58, 2 Cu 2.86
Re: 0.0000 0.0000 0.5000 [1 per cell]  8 Cu 2.58, 2 Re 2.86
Ir: 0.5000 0.5000 0.5000 [1 per cell]  8 Cu 2.58, 2 Ir 2.86

Stability summary: most stable a), least stable d).

a) A relaxed structure of Cu2IrRh, computed with PBE.

Output
For the density of states at the Fermi level, the calculation gives 1.510 states/eV per atom. Its volume is 13.379 Å³/atom.

Cell: 8.6810 2.6829 4.6694 Å, 90.00 100.20 90.00°
With the nearest neighbours (Å) after each atom.
Space group C2/m (No. 12)
Asymmetric unit:
Cu: 0.2492 0.0000 0.2489 [4 per cell]  3 Ir 2.63-2.64, 3 Rh 2.64-2.65, 6 Cu 2.68-2.70
Ir: 0.0000 0.5000 0.0000 [2 per cell]  6 Cu 2.63-2.64, 2 Ir 2.68, 4 Rh 2.69
Rh: 0.0000 0.0000 0.5000 [2 per cell]  6 Cu 2.64-2.65, 2 Rh 2.68, 4 Ir 2.69

b) A relaxed structure of Cu2IrRh, computed with PBE.

Output
For the density of states at the Fermi level, the calculation gives 1.219 states/eV per atom. Its volume is 13.633 Å³/atom.

Cell: 5.3120 8.8753 2.6444 Å, 90.00 118.98 90.00°
With the nearest neighbours (Å) after each atom.
Space group C2/m (No. 12)
Asymmetric unit:
Cu: 0.2500 0.2500 0.0000 [4 per cell]  2 Rh 2.59, 2 Ir 2.59, 6 Cu 2.64-2.69
Ir: 0.0000 0.0000 0.5000 [2 per cell]  4 Cu 2.59, 2 Ir 2.64, 4 Rh 2.66-2.69
Rh: 0.0000 0.5000 0.5000 [2 per cell]  4 Cu 2.59, 2 Rh 2.64, 4 Ir 2.66-2.69

Stability summary: most stable a), least stable b).

a) A relaxed structure of Cu2IrRh, computed with PBE.

Output
For the density of states at the Fermi level, the calculation gives 1.246 states/eV per atom. Its volume is 13.448 Å³/atom.

Cell: 2.7115 3.7607 5.2749 Å, 90.00 90.10 90.00°
With the nearest neighbours (Å) after each atom.
Space group Pm (No. 6)
Asymmetric unit:
Cu: 0.0000 0.0000 0.0000 [1 per cell]  6 Cu 2.60-2.71, 2 Rh 2.63-2.64, 4 Ir 2.72
Cu: 0.4990 0.5000 0.2255 [1 per cell]  6 Cu 2.60-2.71, 2 Ir 2.62-2.66, 4 Rh 2.73
Ir: 0.4999 0.5000 0.7294 [1 per cell]  6 Cu 2.62-2.72, 4 Rh 2.62, 2 Ir 2.71
Rh: 0.9997 0.0000 0.4987 [1 per cell]  4 Ir 2.62, 6 Cu 2.63-2.73, 2 Rh 2.71

b) A relaxed structure of Cu2IrRh, computed with PBE.

Output
For the density of states at the Fermi level, the calculation gives 1.335 states/eV per atom. Its volume is 13.563 Å³/atom.

Cell: 6.0094 6.0094 6.0094 Å, 90.00 90.00 90.00°
With the nearest neighbours (Å) after each atom.
Space group F-43m (No. 216)
Asymmetric unit:
Cu: 0.0000 0.0000 0.0000 [4 per cell]  4 Rh 2.60, 4 Cu 2.60
Cu: 0.2500 0.2500 0.2500 [4 per cell]  4 Cu 2.60, 4 Ir 2.60
Ir: 0.0000 0.0000 0.5000 [4 per cell]  4 Cu 2.60, 4 Rh 2.60
Rh: 0.2500 0.2500 0.7500 [4 per cell]  4 Cu 2.60, 4 Ir 2.60

Stability summary: most stable a), least stable b).

a) A relaxed structure of CuIrRh2, computed with PBE.

Output
For the density of states at the Fermi level, the calculation gives 1.503 states/eV per atom. Its volume is 14.022 Å³/atom.

Cell: 2.7559 4.5437 8.9582 Å, 90.00 90.00 90.00°
With the nearest neighbours (Å) after each atom.
Space group Imm2 (No. 44)
Asymmetric unit:
Cu: 0.0000 0.0000 0.0000 [2 per cell]  2 Ir 2.57, 6 Rh 2.58-2.66, 2 Cu 2.76
Ir: 0.0000 0.5000 0.7423 [2 per cell]  2 Cu 2.57, 6 Rh 2.65-2.66, 2 Ir 2.76
Rh: 0.0000 0.0000 0.4953 [2 per cell]  2 Ir 2.65, 4 Cu 2.66, 4 Rh 2.72-2.76
Rh: 0.0000 0.5000 0.2566 [2 per cell]  2 Cu 2.58, 4 Ir 2.66, 4 Rh 2.72-2.76

b) A relaxed structure of CuIrRh2, computed with PBE.

Output
For the density of states at the Fermi level, the calculation gives 1.350 states/eV per atom. Its volume is 13.837 Å³/atom.

Cell: 2.7291 2.7291 7.4316 Å, 90.00 90.00 90.00°
With the nearest neighbours (Å) after each atom.
Space group P4mm (No. 99)
Asymmetric unit:
Cu: 0.0000 0.0000 0.0000 [1 per cell]  4 Rh 2.66, 4 Ir 2.66, 4 Cu 2.73
Ir: 0.5000 0.5000 0.2469 [1 per cell]  4 Cu 2.66, 4 Rh 2.69, 4 Ir 2.73
Rh: 0.0000 0.0000 0.4983 [1 per cell]  4 Ir 2.69, 8 Rh 2.71-2.73
Rh: 0.5000 0.5000 0.7541 [1 per cell]  4 Cu 2.66, 8 Rh 2.71-2.73

c) A relaxed structure of CuIrRh2, computed with PBE.

Output
For the density of states at the Fermi level, the calculation gives 2.177 states/eV per atom. Its volume is 13.928 Å³/atom.

Cell: 5.3943 7.6230 2.7097 Å, 90.00 90.00 90.00°
With the nearest neighbours (Å) after each atom.
Space group Cmmm (No. 65)
Asymmetric unit:
Cu: 0.0000 0.0000 0.0000 [2 per cell]  2 Ir 2.70, 8 Rh 2.70, 2 Cu 2.71
Ir: 0.0000 0.5000 0.0000 [2 per cell]  2 Cu 2.70, 8 Rh 2.70, 2 Ir 2.71
Rh: 0.2500 0.2500 0.5000 [4 per cell]  4 Rh 2.70-2.71, 4 Cu 2.70, 4 Ir 2.70

Stability summary: most stable b), least stable a).

a) A relaxed structure of CuIr2Rh, computed with PBE.

Output
For the density of states at the Fermi level, the calculation gives 1.371 states/eV per atom. Its volume is 15.320 Å³/atom.

Cell: 6.8297 6.8297 5.2550 Å, 90.00 90.00 90.00°
With the nearest neighbours (Å) after each atom.
Space group I-42d (No. 122)
Asymmetric unit:
Cu: 0.0000 0.0000 0.0000 [4 per cell]  4 Ir 2.48, 2 Rh 2.63
Ir: 0.2442 0.2500 0.1250 [8 per cell]  2 Cu 2.48, 2 Rh 2.53, 2 Ir 2.63
Rh: 0.0000 0.0000 0.5000 [4 per cell]  4 Ir 2.53, 2 Cu 2.63

b) A relaxed structure of CuIr2Rh, computed with PBE.

Output
For the density of states at the Fermi level, the calculation gives 1.840 states/eV per atom. Its volume is 14.009 Å³/atom.

Cell: 5.3344 7.7778 2.7012 Å, 90.00 90.00 90.00°
With the nearest neighbours (Å) after each atom.
Space group Cmmm (No. 65)
Asymmetric unit:
Cu: 0.0000 0.0000 0.0000 [2 per cell]  2 Rh 2.67, 2 Cu 2.70, 8 Ir 2.72
Ir: 0.2500 0.2500 0.5000 [4 per cell]  4 Ir 2.67-2.70, 4 Cu 2.72, 4 Rh 2.72
Rh: 0.0000 0.5000 0.0000 [2 per cell]  2 Cu 2.67, 2 Rh 2.70, 8 Ir 2.72

Stability summary: most stable b), least stable a).

a) A relaxed structure of CuIr2Rh, computed with PBE.

Output
For the density of states at the Fermi level, the calculation gives 1.530 states/eV per atom. Its volume is 14.333 Å³/atom.

Cell: 2.6977 4.6792 9.0840 Å, 90.00 90.00 90.00°
With the nearest neighbours (Å) after each atom.
Space group Cmm2 (No. 35)
Asymmetric unit:
Cu: 0.0000 0.0000 0.0000 [2 per cell]  2 Rh 2.59, 2 Ir 2.61, 6 Cu 2.70
Ir: 0.0000 0.0000 0.5012 [2 per cell]  2 Rh 2.68, 8 Ir 2.68-2.70
Ir: 0.0000 0.5000 0.2460 [2 per cell]  2 Cu 2.61, 8 Ir 2.68-2.70
Rh: 0.0000 0.5000 0.7560 [2 per cell]  2 Cu 2.59, 2 Ir 2.68, 6 Rh 2.70

b) A relaxed structure of CuIr2Rh, computed with PBE.

Output
For the density of states at the Fermi level, the calculation gives 1.049 states/eV per atom. Its volume is 13.938 Å³/atom.

Cell: 8.9053 2.7252 4.6640 Å, 90.00 99.90 90.00°
With the nearest neighbours (Å) after each atom.
Space group Cm (No. 8)
Asymmetric unit:
Cu: 0.0000 0.0000 0.0000 [2 per cell]  3 Rh 2.63-2.70, 7 Ir 2.69-2.72, 2 Cu 2.73
Ir: 0.2516 0.5000 0.2613 [2 per cell]  5 Ir 2.65-2.73, 4 Rh 2.69-2.72, 3 Cu 2.70-2.72
Ir: 0.4976 0.0000 0.4955 [2 per cell]  5 Ir 2.65-2.73, 4 Cu 2.69-2.72, 3 Rh 2.72-2.74
Rh: 0.2472 0.0000 0.7634 [2 per cell]  3 Cu 2.63-2.70, 7 Ir 2.69-2.74, 2 Rh 2.73

Stability summary: most stable b), least stable a).